VASP calculation (GGA-PBE) on a relaxed SmHoCrN3 crystal.

Values from the calculation:
Its space group is P2_1/m. As for the density of states at the Fermi level: 0.446 states/eV per atom. Its uncorrected energy is -8.444 eV per atom.

Cell lengths 3.4076, 7.2859, 7.3804 Å; angles 98.46, 90.00, 90.00 degrees
With the nearest neighbours (Å) after each atom.
Positions (direct):
Sm  0.7500  0.8256  0.8239  3 N 2.40-2.42
Sm  0.2500  0.1744  0.1761  3 N 2.40-2.42
Ho  0.2500  0.6333  0.1686  6 N 2.30-2.53
Ho  0.7500  0.3667  0.8314  6 N 2.30-2.53
Cr  0.2500  0.0815  0.5983  4 N 1.82-1.92
Cr  0.7500  0.9185  0.4017  4 N 1.82-1.92
N  0.2500  0.8349  0.4781  3 Cr 1.88-1.92
N  0.7500  0.8836  0.1527  1 Cr 1.82
N  0.7500  0.4031  0.1462  3 Ho 2.30-2.38, 2 Sm 2.42
N  0.7500  0.1651  0.5219  3 Cr 1.88-1.92
N  0.2500  0.5969  0.8538  3 Ho 2.30-2.38, 2 Sm 2.42
N  0.2500  0.1164  0.8473  1 Cr 1.82



VASP calculation (GGA-PBE) on a relaxed SmHo2CrN4 crystal.

Values from the calculation:
Its space group is Cmcm. As for the density of states at the Fermi level: 0.429 states/eV per atom. Its uncorrected energy is -8.359 eV per atom.

Cell lengths 3.3848, 5.9822, 11.5738 Å; angles 90.00, 90.00, 106.43 degrees
With the nearest neighbours (Å) after each atom.
Positions (direct):
Sm  0.0997  0.1995  0.7500  6 N 2.61-2.69
Sm  0.9003  0.8005  0.2500  6 N 2.61-2.69
Ho  0.3692  0.7384  0.5431  6 N 2.31-2.49
Ho  0.6308  0.2616  0.0431  6 N 2.31-2.49
Ho  0.6308  0.2616  0.4569  6 N 2.31-2.49
Ho  0.3692  0.7384  0.9569  6 N 2.31-2.49
Cr  0.8360  0.6719  0.7500  4 N 1.83-1.98
Cr  0.1640  0.3281  0.2500  4 N 1.83-1.98
N  0.2655  0.5309  0.1280  1 Cr 1.83
N  0.7345  0.4691  0.6280  1 Cr 1.83
N  0.7345  0.4691  0.8720  1 Cr 1.83
N  0.2655  0.5309  0.3720  1 Cr 1.83
N  0.0000  0.0000  0.5000  4 Ho 2.32
N  0.0000  0.0000  0.0000  4 Ho 2.32
N  0.4263  0.8526  0.7500  2 Cr 1.98
N  0.5737  0.1474  0.2500  2 Cr 1.98



VASP calculation (GGA-PBE) on a relaxed HoTm2CrN4 crystal.

Values from the calculation:
Its space group is Cmcm. As for the density of states at the Fermi level: 0.417 states/eV per atom. Its uncorrected energy is -8.350 eV per atom.

Cell lengths 3.3234, 5.8594, 11.4695 Å; angles 90.00, 90.00, 106.47 degrees
With the nearest neighbours (Å) after each atom.
Positions (direct):
Ho  0.1106  0.2213  0.7500  6 N 2.56-2.57
Ho  0.8894  0.7787  0.2500  6 N 2.56-2.57
Tm  0.3691  0.7382  0.5426  6 N 2.27-2.50
Tm  0.6309  0.2618  0.0426  6 N 2.27-2.50
Tm  0.6309  0.2618  0.4574  6 N 2.27-2.50
Tm  0.3691  0.7382  0.9574  6 N 2.27-2.50
Cr  0.8446  0.6893  0.7500  4 N 1.86-1.96
Cr  0.1554  0.3107  0.2500  4 N 1.86-1.96
N  0.2663  0.5327  0.1292  1 Cr 1.86
N  0.7337  0.4673  0.6292  1 Cr 1.86
N  0.7337  0.4673  0.8708  1 Cr 1.86
N  0.2663  0.5327  0.3708  1 Cr 1.86
N  0.0000  0.0000  0.5000  4 Tm 2.27
N  0.0000  0.0000  0.0000  4 Tm 2.27
N  0.4379  0.8758  0.7500  2 Cr 1.96
N  0.5621  0.1242  0.2500  2 Cr 1.96



Which formula does entry 3 have?
HoTm2CrN4



Look up the uncorrected energy of the second one.
-8.359 eV per atom



The lowest uncorrected energy belongs to which entry?
SmHoCrN3